Entry 1:
Computed, not measured: a geometry-optimized Cs2V2F7 structure at the PBE with a Hubbard U level of DFT.

Summary:
Energy ... -5.370 eV/atom
Magnetization ... 0.455 μB/atom
Space group ... C2/m

a = 6.975 Å, b = 6.975 Å, c = 6.904 Å
α = 97.61°, β = 97.61°, γ = 122.21°
Sites, in units of the cell vectors:
Cs 0.173 0.827 0.000
Cs 0.827 0.173 0.000
V 0.251 0.251 0.612
V 0.749 0.749 0.388
F 0.046 0.046 0.331
F 0.186 0.448 0.775
F 0.448 0.186 0.775
F 0.500 0.500 0.500
F 0.552 0.814 0.225
F 0.814 0.552 0.225
F 0.954 0.954 0.669

=====

Entry 2:
Computed, not measured: a geometry-optimized Cs3VF8 structure at the PBE with a Hubbard U level of DFT.

Summary:
Energy ... -4.748 eV/atom
Magnetization ... 0.017 μB/atom
Space group ... P6_3mc

a = 8.803 Å, b = 8.803 Å, c = 7.985 Å
α = 90.00°, β = 90.00°, γ = 120.00°
Sites, in units of the cell vectors:
Cs 0.157 0.313 0.000
Cs 0.157 0.843 0.000
Cs 0.313 0.157 0.500
Cs 0.687 0.843 0.000
Cs 0.843 0.157 0.500
Cs 0.843 0.687 0.500
V 0.333 0.667 0.479
V 0.667 0.333 0.979
F 0.000 0.000 0.256
F 0.000 0.000 0.756
F 0.138 0.569 0.349
F 0.235 0.470 0.609
F 0.235 0.765 0.609
F 0.333 0.667 0.988
F 0.431 0.569 0.349
F 0.431 0.862 0.349
F 0.470 0.235 0.109
F 0.530 0.765 0.609
F 0.569 0.138 0.849
F 0.569 0.431 0.849
F 0.667 0.333 0.488
F 0.765 0.235 0.109
F 0.765 0.530 0.109
F 0.862 0.431 0.849

=====

Entry 3:
Computed, not measured: a geometry-optimized Cs2VF2 structure at the PBE with a Hubbard U level of DFT.

Summary:
Energy above the lowest structure with this stoichiometry ... 0.000 eV/atom
Magnetization ... 0.822 μB/atom
Space group ... I4/mmm

a = 8.080 Å, b = 8.080 Å, c = 8.080 Å
α = 141.69°, β = 141.69°, γ = 55.30°
Sites, in units of the cell vectors:
Cs 0.175 0.175 0.000
Cs 0.825 0.825 0.000
V 0.500 0.500 0.000
F 0.250 0.750 0.500
F 0.750 0.250 0.500

=====

Entry 4:
Computed, not measured: a geometry-optimized Cs3VF6 structure at the PBE with a Hubbard U level of DFT.

Summary:
Energy ... -4.915 eV/atom
Magnetization ... 0.200 μB/atom
Space group ... Fm-3m

a = 6.812 Å, b = 6.812 Å, c = 6.812 Å
α = 60.00°, β = 60.00°, γ = 60.00°
Sites, in units of the cell vectors:
Cs 0.000 0.000 0.000
Cs 0.250 0.250 0.250
Cs 0.750 0.750 0.750
V 0.500 0.500 0.500
F 0.294 0.294 0.706
F 0.294 0.706 0.294
F 0.294 0.706 0.706
F 0.706 0.294 0.294
F 0.706 0.294 0.706
F 0.706 0.706 0.294

=====

Entry 5:
Computed, not measured: a geometry-optimized Cs2V3F8 structure at the PBE with a Hubbard U level of DFT.

Summary:
Energy ... -5.699 eV/atom
Magnetization ... 0.692 μB/atom
Space group ... C2/m

a = 7.723 Å, b = 7.723 Å, c = 5.744 Å
α = 107.01°, β = 107.01°, γ = 51.64°
Sites, in units of the cell vectors:
Cs 0.222 0.222 0.179
Cs 0.778 0.778 0.821
V 0.246 0.754 0.500
V 0.500 0.500 0.000
V 0.754 0.246 0.500
F 0.090 0.090 0.468
F 0.202 0.631 0.121
F 0.369 0.798 0.879
F 0.421 0.421 0.602
F 0.579 0.579 0.398
F 0.631 0.202 0.121
F 0.798 0.369 0.879
F 0.910 0.910 0.532

=====

Entry 6:
Computed, not measured: a geometry-optimized CsVF4 structure at the PBE with a Hubbard U level of DFT.

Summary:
Energy ... -5.551 eV/atom
Magnetization ... 0.333 μB/atom
Space group ... C2/c

a = 7.827 Å, b = 7.827 Å, c = 5.570 Å
α = 110.63°, β = 110.63°, γ = 41.98°
Sites, in units of the cell vectors:
Cs 0.248 0.752 0.750
Cs 0.752 0.248 0.250
V 0.000 0.500 0.000
V 0.500 0.000 0.500
F 0.149 0.636 0.143
F 0.193 0.302 0.292
F 0.302 0.193 0.792
F 0.364 0.851 0.357
F 0.636 0.149 0.643
F 0.698 0.807 0.208
F 0.807 0.698 0.708
F 0.851 0.364 0.857